[1]
# Sr5Tl2Pb

Sr5Tl2Pb after structural relaxation (PBE-GGA, the Alexandria database).

The energy relative to the elements is -0.393 eV/atom. The value obtained for the uncorrected energy is -2.50 eV/atom. The calculation puts the total magnetic moment at 0.0 μB per formula unit. The calculation puts the volume at 1264.9 Å³ per cell.

Unit cell a=8.818 b=8.818 c=16.267 alpha=90.00 beta=90.00 gamma=90.00
Space group I4/mcm (No. 140)
One atom of each set of equivalent atoms:
Sr  0.000  0.000  0.000 (multiplicity 4)
Sr  0.173  0.327  0.145 (multiplicity 16)
Tl  0.122  0.378  0.500 (multiplicity 8)
Pb  0.000  0.000  0.250 (multiplicity 4)

***

[2]
# LiTlTc2

LiTlTc2 after structural relaxation (PBE-GGA, the Alexandria database).

The energy relative to the elements is 0.433 eV/atom. The value obtained for the uncorrected energy is -5.82 eV/atom. The calculation puts the total magnetic moment at 0.0 μB per formula unit. For the energy above the lowest structure with this stoichiometry, the calculation gives 275.4 meV/atom. The calculation puts the volume at 138.1 Å³ per cell.

Unit cell a=3.078 b=4.782 c=9.384 alpha=90.00 beta=90.00 gamma=90.00
Space group Cmm2 (No. 35)
One atom of each set of equivalent atoms:
Li  0.000  0.000  0.000 (multiplicity 2)
Tl  0.000  0.500  0.734 (multiplicity 2)
Tc  0.000  0.000  0.456 (multiplicity 2)
Tc  0.000  0.500  0.240 (multiplicity 2)

***

[3]
# Er2TlCd4

Er2TlCd4 after structural relaxation (PBE-GGA, the Alexandria database).

The energy relative to the elements is -0.128 eV/atom. The value obtained for the uncorrected energy is -2.29 eV/atom. The calculation puts the total magnetic moment at 0.0 μB per formula unit. The calculation puts the volume at 351.5 Å³ per cell.

Unit cell a=4.224 b=4.224 c=19.696 alpha=90.00 beta=90.00 gamma=90.00
Space group I4/mmm (No. 139)
One atom of each set of equivalent atoms:
Er  0.000  0.000  0.093 (multiplicity 4)
Tl  0.000  0.000  0.500 (multiplicity 2)
Cd  0.000  0.000  0.351 (multiplicity 4)
Cd  0.000  0.500  0.250 (multiplicity 4)

***

[4]
# SnH2Pd4

SnH2Pd4 after structural relaxation (PBE-GGA, the Alexandria database).

The value obtained for the uncorrected energy is -4.77 eV/atom. The calculation puts the total magnetic moment at 0.0 μB per formula unit. For the energy above the lowest structure with this stoichiometry, the calculation gives 35.8 meV/atom. The calculation puts the volume at 179.6 Å³ per cell.

Unit cell a=5.564 b=5.708 c=7.002 alpha=76.84 beta=66.85 gamma=61.55
Space group P1 (No. 1)
One atom of each set of equivalent atoms:
Sn  0.000  0.000  0.000 (multiplicity 1)
Sn  0.173  0.605  0.453 (multiplicity 1)
H  0.592  0.727  0.090 (multiplicity 1)
H  0.603  0.163  0.678 (multiplicity 1)
H  0.630  0.584  0.779 (multiplicity 1)
H  0.922  0.260  0.359 (multiplicity 1)
Pd  0.238  0.345  0.834 (multiplicity 1)
Pd  0.303  0.036  0.231 (multiplicity 1)
Pd  0.385  0.792  0.634 (multiplicity 1)
Pd  0.486  0.479  0.055 (multiplicity 1)
Pd  0.671  0.114  0.402 (multiplicity 1)
Pd  0.751  0.839  0.815 (multiplicity 1)
Pd  0.857  0.595  0.229 (multiplicity 1)
Pd  0.896  0.288  0.632 (multiplicity 1)

***

[5]
# Ti2RuPt

Ti2RuPt after structural relaxation (PBE-GGA, the Alexandria database).

The energy relative to the elements is -0.042 eV/atom. The value obtained for the uncorrected energy is -7.82 eV/atom. The calculation puts the total magnetic moment at 0.0 μB per formula unit. The calculation puts the volume at 276.5 Å³ per cell.

Unit cell a=4.082 b=4.082 c=16.594 alpha=90.00 beta=90.00 gamma=90.00
Space group I-42d (No. 122)
One atom of each set of equivalent atoms:
Ti  0.242  0.250  0.125 (multiplicity 8)
Ru  0.000  0.000  0.000 (multiplicity 4)
Pt  0.000  0.000  0.500 (multiplicity 4)

***

[6]
# Pm6Te3PtSe2

Pm6Te3PtSe2 after structural relaxation (PBE-GGA, the Alexandria database).

The value obtained for the uncorrected energy is -5.77 eV/atom. The calculation puts the total magnetic moment at 0.0 μB per formula unit. The calculation puts the volume at 697.2 Å³ per cell. For the formation energy from raw total energies, the calculation gives -1.5259 eV per atom.

Unit cell a=19.111 b=4.244 c=8.870 alpha=90.00 beta=104.28 gamma=90.00
Space group C2/m (No. 12)
One atom of each set of equivalent atoms:
Pm  0.003  0.000  0.222 (multiplicity 4)
Pm  0.160  0.500  0.095 (multiplicity 4)
Pm  0.172  0.500  0.567 (multiplicity 4)
Te  0.000  0.500  0.500 (multiplicity 2)
Te  0.169  0.000  0.831 (multiplicity 4)
Pt  0.000  0.500  0.000 (multiplicity 2)
Se  0.167  0.000  0.333 (multiplicity 4)

***

[7]
# Mo3WSe6S2

Mo3WSe6S2 after structural relaxation (PBE-GGA, the Alexandria database).

The value obtained for the uncorrected energy is -6.93 eV/atom. The calculation puts the total magnetic moment at 0.0 μB per formula unit. For the energy above the lowest structure with this stoichiometry, the calculation gives 0.0 meV/atom. The calculation puts the volume at 344.6 Å³ per cell. For the formation energy from raw total energies, the calculation gives -0.7083 eV per atom.

Unit cell a=3.2875 b=3.2875 c=36.8190 alpha=90.00 beta=90.00 gamma=120.00
Space group P3m1 (No. 156)
One atom of each set of equivalent atoms:
Mo  0.0000  0.0000  0.0000 (multiplicity 1)
Mo  0.0000  0.0000  0.3934 (multiplicity 1)
Mo  0.3333  0.6667  0.1976 (multiplicity 1)
W  0.3333  0.6667  0.5876 (multiplicity 1)
Se  0.0000  0.0000  0.1518 (multiplicity 1)
Se  0.0000  0.0000  0.2434 (multiplicity 1)
Se  0.3333  0.6667  0.0458 (multiplicity 1)
Se  0.3333  0.6667  0.3476 (multiplicity 1)
Se  0.3333  0.6667  0.4392 (multiplicity 1)
Se  0.3333  0.6667  0.9542 (multiplicity 1)
S  0.0000  0.0000  0.5458 (multiplicity 1)
S  0.0000  0.0000  0.6294 (multiplicity 1)

***

[8]
# DyGe2Au

DyGe2Au after structural relaxation (PBE-GGA, the Alexandria database).

The energy relative to the elements is -0.296 eV/atom. The value obtained for the uncorrected energy is -4.57 eV/atom. The calculation puts the total magnetic moment at 0.0 μB per formula unit. The calculation puts the volume at 250.0 Å³ per cell.

Unit cell a=5.1412 b=5.1412 c=10.9197 alpha=90.00 beta=90.00 gamma=120.00
Space group R-3m (No. 166, hexagonal axes)
One atom of each set of equivalent atoms:
Dy  0.0000  0.0000  0.0000 (multiplicity 3)
Ge  0.0000  0.0000  0.2624 (multiplicity 6)
Au  0.0000  0.0000  0.5000 (multiplicity 3)

***

[9]
# Fe2PAu

Fe2PAu after structural relaxation (PBE-GGA, the Alexandria database).

The energy relative to the elements is 0.234 eV/atom. The value obtained for the uncorrected energy is -6.17 eV/atom. The calculation puts the total magnetic moment at 5.4 μB per formula unit. The calculation puts the volume at 111.2 Å³ per cell.

Unit cell a=5.275 b=7.512 c=2.808 alpha=90.00 beta=90.38 gamma=90.00
Space group C2/m (No. 12)
One atom of each set of equivalent atoms:
Fe  0.250  0.250  0.000 (multiplicity 4)
P  0.000  0.000  0.500 (multiplicity 2)
Au  0.000  0.500  0.500 (multiplicity 2)

***

[10]
# LiMnIn2

LiMnIn2 after structural relaxation (PBE-GGA, the Alexandria database).

The energy relative to the elements is 0.109 eV/atom. The value obtained for the uncorrected energy is -4.03 eV/atom. The calculation puts the total magnetic moment at 3.7 μB per formula unit. The calculation puts the volume at 78.6 Å³ per cell.

Unit cell a=3.593 b=3.593 c=6.093 alpha=90.00 beta=90.00 gamma=90.00
Space group P4mm (No. 99)
One atom of each set of equivalent atoms:
Li  0.000  0.000  0.000 (multiplicity 1)
Mn  0.500  0.500  0.241 (multiplicity 1)
In  0.000  0.000  0.455 (multiplicity 1)
In  0.500  0.500  0.772 (multiplicity 1)

***

[11]
# Pr6TlIn5

Pr6TlIn5 after structural relaxation (PBE-GGA, the Alexandria database).

The energy relative to the elements is -0.476 eV/atom. The value obtained for the uncorrected energy is -4.20 eV/atom. The calculation puts the total magnetic moment at 0.0 μB per formula unit. For the energy above the lowest structure with this stoichiometry, the calculation gives 0.0 meV/atom. The calculation puts the volume at 717.2 Å³ per cell.

Unit cell a=5.527 b=7.816 c=16.600 alpha=90.00 beta=90.00 gamma=90.00
Space group Immm (No. 71)
One atom of each set of equivalent atoms:
Pr  0.000  0.249  0.000 (multiplicity 4)
Pr  0.000  0.250  0.333 (multiplicity 8)
Tl  0.000  0.000  0.500 (multiplicity 2)
In  0.000  0.000  0.167 (multiplicity 4)
In  0.000  0.500  0.167 (multiplicity 4)
In  0.000  0.500  0.500 (multiplicity 2)

***

[12]
# YAs2Ir

YAs2Ir after structural relaxation (PBE-GGA, the Alexandria database).

The energy relative to the elements is -0.223 eV/atom. The value obtained for the uncorrected energy is -6.38 eV/atom. The calculation puts the total magnetic moment at 0.0 μB per formula unit. For the energy above the lowest structure with this stoichiometry, the calculation gives 571.3 meV/atom. The calculation puts the volume at 276.5 Å³ per cell.

Unit cell a=3.7453 b=3.7453 c=22.7597 alpha=90.00 beta=90.00 gamma=120.00
Space group R3m (No. 160, hexagonal axes)
One atom of each set of equivalent atoms:
Y  0.0000  0.0000  0.0000 (multiplicity 3)
As  0.0000  0.0000  0.5291 (multiplicity 3)
As  0.0000  0.0000  0.7541 (multiplicity 3)
Ir  0.0000  0.0000  0.2429 (multiplicity 3)

***

[13]
# Sc2TeP

Sc2TeP after structural relaxation (PBE-GGA, the Alexandria database).

The value obtained for the uncorrected energy is -6.14 eV/atom. The calculation puts the total magnetic moment at 0.0 μB per formula unit. For the energy above the lowest structure with this stoichiometry, the calculation gives 555.2 meV/atom. The calculation puts the volume at 85.1 Å³ per cell. For the formation energy from raw total energies, the calculation gives -0.8373 eV per atom.

Unit cell a=3.635 b=4.272 c=5.478 alpha=90.00 beta=90.00 gamma=90.00
Space group Pmmm (No. 47)
One atom of each set of equivalent atoms:
Sc  0.000  0.000  0.000 (multiplicity 1)
Sc  0.000  0.500  0.500 (multiplicity 1)
Te  0.500  0.000  0.500 (multiplicity 1)
P  0.500  0.500  0.000 (multiplicity 1)

***

[14]
# Re2MoPb

Re2MoPb after structural relaxation (PBE-GGA, the Alexandria database).

The energy relative to the elements is 0.836 eV/atom. The value obtained for the uncorrected energy is -9.02 eV/atom. The calculation puts the total magnetic moment at 0.0 μB per formula unit. The calculation puts the volume at 135.7 Å³ per cell.

Unit cell a=3.954 b=3.954 c=8.682 alpha=90.00 beta=90.00 gamma=90.00
Space group I4/mmm (No. 139)
One atom of each set of equivalent atoms:
Re  0.000  0.500  0.250 (multiplicity 4)
Mo  0.000  0.000  0.000 (multiplicity 2)
Pb  0.000  0.000  0.500 (multiplicity 2)

***

[15]
# YCd2In2

YCd2In2 after structural relaxation (PBE-GGA, the Alexandria database).

The energy relative to the elements is -0.172 eV/atom. The value obtained for the uncorrected energy is -2.93 eV/atom. The calculation puts the total magnetic moment at 0.0 μB per formula unit. For the energy above the lowest structure with this stoichiometry, the calculation gives 0.0 meV/atom. The calculation puts the volume at 253.4 Å³ per cell.

Unit cell a=4.472 b=4.472 c=12.668 alpha=90.00 beta=90.00 gamma=90.00
Space group I4/mmm (No. 139)
One atom of each set of equivalent atoms:
Y  0.000  0.000  0.000 (multiplicity 2)
Cd  0.000  0.500  0.250 (multiplicity 4)
In  0.000  0.000  0.393 (multiplicity 4)

***

[16]
# MgBeV

MgBeV after structural relaxation (PBE-GGA, the Alexandria database).

The energy relative to the elements is 0.186 eV/atom. The value obtained for the uncorrected energy is -4.63 eV/atom. The calculation puts the total magnetic moment at 0.2 μB per formula unit. For the energy above the lowest structure with this stoichiometry, the calculation gives 97.5 meV/atom. The calculation puts the volume at 86.8 Å³ per cell.

Unit cell a=2.801 b=3.130 c=9.898 alpha=90.00 beta=90.00 gamma=90.00
Space group Pmm2 (No. 25)
One atom of each set of equivalent atoms:
Mg  0.000  0.000  0.000 (multiplicity 1)
Mg  0.500  0.500  0.247 (multiplicity 1)
Be  0.500  0.500  0.588 (multiplicity 1)
Be  0.500  0.500  0.825 (multiplicity 1)
V  0.000  0.000  0.460 (multiplicity 1)
V  0.000  0.000  0.707 (multiplicity 1)

***

[17]
# La2TiSn4

La2TiSn4 after structural relaxation (PBE-GGA, the Alexandria database).

The energy relative to the elements is -0.396 eV/atom. The value obtained for the uncorrected energy is -5.22 eV/atom. The calculation puts the total magnetic moment at 0.0 μB per formula unit. The calculation puts the volume at 433.5 Å³ per cell.

Unit cell a=5.179 b=5.179 c=16.164 alpha=90.00 beta=90.00 gamma=90.00
Space group I4/mmm (No. 139)
One atom of each set of equivalent atoms:
La  0.000  0.000  0.135 (multiplicity 4)
Ti  0.000  0.000  0.500 (multiplicity 2)
Sn  0.000  0.000  0.331 (multiplicity 4)
Sn  0.000  0.500  0.000 (multiplicity 4)

***

[18]
# Sm3Tl2Hg3

Sm3Tl2Hg3 after structural relaxation (PBE-GGA, the Alexandria database).

The energy relative to the elements is -0.302 eV/atom. The value obtained for the uncorrected energy is -2.78 eV/atom. The calculation puts the total magnetic moment at 0.0 μB per formula unit. For the energy above the lowest structure with this stoichiometry, the calculation gives 4.8 meV/atom. The calculation puts the volume at 225.5 Å³ per cell.

Unit cell a=8.2317 b=8.2317 c=3.8424 alpha=90.00 beta=90.00 gamma=120.00
Space group P-62m (No. 189)
One atom of each set of equivalent atoms:
Sm  0.0000  0.6390  0.0000 (multiplicity 3)
Tl  0.3333  0.6667  0.5000 (multiplicity 2)
Hg  0.0000  0.2505  0.5000 (multiplicity 3)

***

[19]
# KCuSbI5

KCuSbI5 after structural relaxation (PBE-GGA, the Alexandria database).

The value obtained for the uncorrected energy is -2.69 eV/atom. The calculation puts the total magnetic moment at 0.0 μB per formula unit. The calculation puts the volume at 1361.8 Å³ per cell. For the formation energy from raw total energies, the calculation gives -0.5532 eV per atom.

Unit cell a=9.973 b=13.276 c=11.243 alpha=90.00 beta=113.83 gamma=90.00
Space group C2/c (No. 15)
One atom of each set of equivalent atoms:
K  0.000  0.139  0.250 (multiplicity 4)
Cu  0.000  0.194  0.750 (multiplicity 4)
Sb  0.000  0.500  0.000 (multiplicity 4)
I  0.000  0.412  0.250 (multiplicity 4)
I  0.119  0.293  0.617 (multiplicity 8)
I  0.185  0.074  0.932 (multiplicity 8)

***

[20]
# Sm4Ho3Th

Sm4Ho3Th after structural relaxation (PBE-GGA, the Alexandria database).

The energy relative to the elements is 0.039 eV/atom. The value obtained for the uncorrected energy is -4.96 eV/atom. The calculation puts the total magnetic moment at 0.0 μB per formula unit. For the energy above the lowest structure with this stoichiometry, the calculation gives 0.0 meV/atom. The calculation puts the volume at 527.5 Å³ per cell.

Unit cell a=11.512 b=7.297 c=6.280 alpha=90.00 beta=90.00 gamma=90.00
Space group Pmn2_1 (No. 31)
One atom of each set of equivalent atoms:
Sm  0.000  0.131  0.000 (multiplicity 2)
Sm  0.000  0.866  0.504 (multiplicity 2)
Sm  0.249  0.871  0.847 (multiplicity 4)
Ho  0.000  0.380  0.506 (multiplicity 2)
Ho  0.250  0.382  0.832 (multiplicity 4)
Th  0.000  0.621  0.005 (multiplicity 2)